[1]
Material: LaPmYCd
Method: DFT, PBE-GGA
State: relaxed

Lattice parameters (Å, degrees): 3.700 3.700 9.196 90.00 90.00 90.00
Fractional coordinates of all 4 atoms:
La: 0.000 0.000 0.000
Pm: 0.500 0.500 0.283
Y: 0.000 0.000 0.552
Cd: 0.500 0.500 0.758

## Properties
total moment = 0.000 μB/f.u.
energy of formation from the pure elements = -0.1559 eV/atom

[2]
Material: La2Pm2YCd5
Method: DFT, PBE-GGA
State: relaxed

Lattice parameters (Å, degrees): 10.799 10.799 4.871 90.00 90.00 90.00
Fractional coordinates of all 20 atoms:
La: 0.175 0.325 0.000
La: 0.325 0.825 0.000
La: 0.675 0.175 0.000
La: 0.825 0.675 0.000
Pm: 0.125 0.625 0.000
Pm: 0.375 0.125 0.000
Pm: 0.625 0.875 0.000
Pm: 0.875 0.375 0.000
Y: 0.000 0.000 0.000
Y: 0.500 0.500 0.000
Cd: 0.000 0.500 0.500
Cd: 0.067 0.809 0.500
Cd: 0.191 0.067 0.500
Cd: 0.309 0.567 0.500
Cd: 0.433 0.309 0.500
Cd: 0.500 0.000 0.500
Cd: 0.567 0.691 0.500
Cd: 0.691 0.433 0.500
Cd: 0.809 0.933 0.500
Cd: 0.933 0.191 0.500

## Properties
total moment = 0.000 μB/f.u.
energy of formation from the pure elements = -0.2119 eV/atom

[3]
Material: LaPrCd
Method: DFT, PBE-GGA
State: relaxed

Lattice parameters (Å, degrees): 5.381 5.381 3.670 90.00 90.00 120.00
Fractional coordinates of all 3 atoms:
La: 0.000 0.000 0.000
Pr: 0.667 0.333 0.371
Cd: 0.333 0.667 0.665

## Properties
total moment = 0.000 μB/f.u.
energy of formation from the pure elements = -0.1189 eV/atom

[4]
Material: La5PrCd2
Method: DFT, PBE-GGA
State: relaxed

Lattice parameters (Å, degrees): 6.666 6.666 16.380 90.00 90.00 131.93
Fractional coordinates of all 16 atoms:
La: 0.038 0.962 0.607
La: 0.038 0.962 0.893
La: 0.358 0.642 0.526
La: 0.358 0.642 0.974
La: 0.461 0.539 0.250
La: 0.539 0.461 0.750
La: 0.642 0.358 0.026
La: 0.642 0.358 0.474
La: 0.962 0.038 0.107
La: 0.962 0.038 0.393
Pr: 0.276 0.724 0.750
Pr: 0.724 0.276 0.250
Cd: 0.227 0.773 0.144
Cd: 0.227 0.773 0.356
Cd: 0.773 0.227 0.644
Cd: 0.773 0.227 0.856

## Properties
total moment = 0.000 μB/f.u.
energy of formation from the pure elements = -0.0934 eV/atom

[5]
Material: La5Pr4Cd4
Method: DFT, PBE-GGA
State: relaxed

Lattice parameters (Å, degrees): 9.330 9.330 9.330 94.79 94.79 146.39
Fractional coordinates of all 13 atoms:
La: 0.000 0.000 0.000
La: 0.315 0.606 0.921
La: 0.394 0.315 0.709
La: 0.606 0.685 0.291
La: 0.685 0.394 0.079
Pr: 0.095 0.387 0.482
Pr: 0.387 0.905 0.293
Pr: 0.613 0.095 0.707
Pr: 0.905 0.613 0.518
Cd: 0.107 0.765 0.871
Cd: 0.235 0.107 0.342
Cd: 0.765 0.893 0.658
Cd: 0.893 0.235 0.129

## Properties
total moment = 0.000 μB/f.u.
energy of formation from the pure elements = -0.1752 eV/atom

[6]
Material: La4Pr3Cd4
Method: DFT, PBE-GGA
State: relaxed

Lattice parameters (Å, degrees): 17.827 17.827 17.827 168.50 162.16 21.28
Fractional coordinates of all 11 atoms:
La: 0.090 0.090 0.000
La: 0.267 0.767 0.500
La: 0.733 0.233 0.500
La: 0.910 0.910 0.000
Pr: 0.000 0.500 0.500
Pr: 0.365 0.365 0.000
Pr: 0.635 0.635 0.000
Cd: 0.181 0.181 0.000
Cd: 0.458 0.958 0.500
Cd: 0.542 0.042 0.500
Cd: 0.819 0.819 0.000

## Properties
total moment = 0.000 μB/f.u.
energy of formation from the pure elements = -0.0781 eV/atom

[7]
Material: LaPr4Cd5
Method: DFT, PBE-GGA
State: relaxed

Lattice parameters (Å, degrees): 3.893 3.893 19.500 90.00 90.00 90.00
Fractional coordinates of all 10 atoms:
La: 0.000 0.000 0.000
Pr: 0.000 0.000 0.202
Pr: 0.000 0.000 0.401
Pr: 0.000 0.000 0.599
Pr: 0.000 0.000 0.798
Cd: 0.500 0.500 0.103
Cd: 0.500 0.500 0.301
Cd: 0.500 0.500 0.500
Cd: 0.500 0.500 0.699
Cd: 0.500 0.500 0.897

## Properties
total moment = 1.900 μB/f.u.
energy of formation from the pure elements = -0.3193 eV/atom

[8]
Material: La2Pr3Cd2
Method: DFT, PBE-GGA
State: relaxed

Lattice parameters (Å, degrees): 11.947 5.481 6.994 90.00 91.47 90.00
Fractional coordinates of all 14 atoms:
La: 0.103 0.000 0.323
La: 0.397 0.500 0.677
La: 0.603 0.500 0.323
La: 0.897 0.000 0.677
Pr: 0.000 0.500 0.000
Pr: 0.205 0.000 0.831
Pr: 0.295 0.500 0.169
Pr: 0.500 0.000 0.000
Pr: 0.705 0.500 0.831
Pr: 0.795 0.000 0.169
Cd: 0.117 0.500 0.581
Cd: 0.383 0.000 0.419
Cd: 0.617 0.000 0.581
Cd: 0.883 0.500 0.419

## Properties
total moment = 0.000 μB/f.u.
energy of formation from the pure elements = -0.1510 eV/atom

[9]
Material: LaPr2Cd
Method: DFT, PBE-GGA
State: relaxed

Lattice parameters (Å, degrees): 3.818 3.818 9.003 90.00 90.00 90.00
Fractional coordinates of all 4 atoms:
La: 0.000 0.000 0.000
Pr: 0.500 0.500 0.279
Pr: 0.500 0.500 0.721
Cd: 0.000 0.000 0.500

## Properties
total moment = 0.000 μB/f.u.
energy of formation from the pure elements = -0.1557 eV/atom

[10]
Material: La3PrCd3
Method: DFT, PBE-GGA
State: relaxed

Lattice parameters (Å, degrees): 7.874 7.874 7.359 90.00 90.00 90.60
Fractional coordinates of all 14 atoms:
La: 0.236 0.236 0.000
La: 0.239 0.239 0.500
La: 0.241 0.759 0.000
La: 0.759 0.241 0.000
La: 0.761 0.761 0.500
La: 0.764 0.764 0.000
Pr: 0.248 0.752 0.500
Pr: 0.752 0.248 0.500
Cd: 0.000 0.500 0.252
Cd: 0.000 0.500 0.748
Cd: 0.500 0.000 0.252
Cd: 0.500 0.000 0.748
Cd: 0.500 0.500 0.246
Cd: 0.500 0.500 0.754

## Properties
total moment = 0.926 μB/f.u.
energy of formation from the pure elements = -0.1801 eV/atom

[11]
Material: LaPr5Cd3
Method: DFT, PBE-GGA
State: relaxed

Lattice parameters (Å, degrees): 9.571 9.571 7.179 90.00 90.00 120.00
Fractional coordinates of all 18 atoms:
La: 0.000 0.000 0.000
La: 0.000 0.000 0.500
Pr: 0.000 0.333 0.250
Pr: 0.000 0.667 0.750
Pr: 0.333 0.000 0.250
Pr: 0.333 0.333 0.750
Pr: 0.333 0.667 0.000
Pr: 0.333 0.667 0.500
Pr: 0.667 0.000 0.750
Pr: 0.667 0.333 0.000
Pr: 0.667 0.333 0.500
Pr: 0.667 0.667 0.250
Cd: 0.000 0.336 0.750
Cd: 0.000 0.664 0.250
Cd: 0.336 0.000 0.750
Cd: 0.336 0.336 0.250
Cd: 0.664 0.000 0.250
Cd: 0.664 0.664 0.750

## Properties
total moment = 0.000 μB/f.u.
energy of formation from the pure elements = -0.1648 eV/atom

[12]
Material: LaPr2Cd2
Method: DFT, PBE-GGA
State: relaxed

Lattice parameters (Å, degrees): 3.902 5.610 14.383 90.00 97.84 90.00
Fractional coordinates of all 10 atoms:
La: 0.149 0.250 0.294
La: 0.851 0.750 0.706
Pr: 0.047 0.750 0.093
Pr: 0.235 0.750 0.472
Pr: 0.765 0.250 0.528
Pr: 0.953 0.250 0.907
Cd: 0.358 0.250 0.717
Cd: 0.450 0.750 0.901
Cd: 0.550 0.250 0.099
Cd: 0.642 0.750 0.283

## Properties
total moment = 0.001 μB/f.u.
energy of formation from the pure elements = -0.2559 eV/atom

Q: total moment of number 3 (LaPrCd)?
A: 0.000 μB/f.u.

Please write out number 1 again, unchanged.
Material: LaPmYCd
Method: DFT, PBE-GGA
State: relaxed

Lattice parameters (Å, degrees): 3.700 3.700 9.196 90.00 90.00 90.00
Fractional coordinates of all 4 atoms:
La: 0.000 0.000 0.000
Pm: 0.500 0.500 0.283
Y: 0.000 0.000 0.552
Cd: 0.500 0.500 0.758

## Properties
total moment = 0.000 μB/f.u.
energy of formation from the pure elements = -0.1559 eV/atom

Q: Among the records above, which one has the highest total moment?
A: LaPr4Cd5